(1)
This record from Alexandria describes CsHf2Be at its PBEsol-relaxed geometry. The functional is SCAN.

Geometry as POSCAR:
```
CsHf2Be
1.0
-2.8911 2.8911 7.9112
2.8911 -2.8911 7.9112
2.8911 2.8911 -7.9112
Cs Hf Be
2 4 2
Direct
0.3750 0.6250 0.7500
0.6250 0.3750 0.2500
0.0000 0.0000 0.0000
0.0000 0.0000 0.5000
0.0000 0.5000 0.0000
0.5000 0.0000 0.5000
0.1250 0.8750 0.2500
0.8750 0.1250 0.7500
```

Values from the calculation:
- Uncorrected energy: -322.5 eV for the cell shown
- Space group: I4_1/amd, No. 141

***

(2)
This record from Alexandria describes CsBe3Hg at its PBEsol-relaxed geometry. The functional is SCAN.

Geometry as POSCAR:
```
CsBe3Hg
1.0
4.7050 0.0000 0.0000
0.0000 4.7050 0.0000
0.0000 0.0000 4.7050
Cs Be Hg
1 3 1
Direct
0.0000 0.0000 0.0000
0.0000 0.5000 0.5000
0.5000 0.0000 0.5000
0.5000 0.5000 0.0000
0.5000 0.5000 0.5000
```

Values from the calculation:
- Uncorrected energy: -115.2 eV for the cell shown
- Space group: Pm-3m, No. 221

***

(3)
This record from Alexandria describes CsBe3I at its PBEsol-relaxed geometry. The functional is SCAN.

Geometry as POSCAR:
```
CsBe3I
1.0
5.3216 0.0000 0.0000
0.0000 5.3216 0.0000
0.0000 0.0000 5.3216
Cs Be I
1 3 1
Direct
0.0000 0.0000 0.0000
0.0000 0.5000 0.5000
0.5000 0.0000 0.5000
0.5000 0.5000 0.0000
0.5000 0.5000 0.5000
```

Values from the calculation:
- Formation energy (no corrections): 37.1 kcal/mol of atoms
- Space group: Pm-3m, No. 221

***

(4)
This record from Alexandria describes CsBeSbI2 at its PBEsol-relaxed geometry. The functional is SCAN.

Geometry as POSCAR:
```
CsBeSbI2
1.0
5.8832 0.0000 0.0000
0.0000 5.8832 0.0000
0.0000 0.0000 4.7345
Cs Be Sb I
1 1 1 2
Direct
0.0000 0.0000 0.0000
0.5000 0.5000 0.5000
0.5000 0.5000 0.0000
0.0000 0.5000 0.5000
0.5000 0.0000 0.5000
```

Values from the calculation:
- Formation energy (no corrections): -7.1 kcal/mol of atoms
- Space group: P4/mmm, No. 123

***

(5)
This record from Alexandria describes CsBeTe2I at its PBEsol-relaxed geometry. The functional is SCAN.

Geometry as POSCAR:
```
CsBeTe2I
1.0
5.0394 0.0000 0.0000
0.0000 5.0394 0.0000
0.0000 0.0000 6.2249
Cs Be Te I
1 1 2 1
Direct
0.0000 0.0000 0.0000
0.5000 0.5000 0.5000
0.0000 0.5000 0.5000
0.5000 0.0000 0.5000
0.5000 0.5000 0.0000
```

Values from the calculation:
- Formation energy (no corrections): -7.7 kcal/mol of atoms
- Space group: P4/mmm, No. 123

***

(6)
This record from Alexandria describes CsBe3In at its PBEsol-relaxed geometry. The functional is SCAN.

Geometry as POSCAR:
```
CsBe3In
1.0
5.4549 0.0000 0.0000
0.0000 5.4549 0.0000
0.0000 0.0000 5.4549
Cs Be In
1 3 1
Direct
0.0000 0.0000 0.0000
0.0000 0.0000 0.5000
0.0000 0.5000 0.0000
0.5000 0.0000 0.0000
0.5000 0.5000 0.5000
```

Values from the calculation:
- Uncorrected energy: -72.4 eV for the cell shown
- Space group: Pm-3m, No. 221

***

Magnetization
In order: 0.75; 0.62; 0.00; 0.00; 0.00; 0.00
Unit: μB/f.u.
DOS(E_F)
In order: 4.095; 1.715; 4.425; 3.091; 4.258; 3.039
Unit: states/eV/f.u.